No. 1
A geometry-optimized Ca3Cu6As5 structure. Source: Alexandria via LeMat-Bulk, functional PBE.

VASP energy   -4.383 eV/atom
Symmetry   No. 59

```
Ca3Cu6As5
1.0
4.031 0.000 0.000
0.000 12.205 0.000
0.000 0.000 10.183
Ca Cu As
6 12 10
direct
0.250 0.086 0.249
0.250 0.414 0.249
0.250 0.750 0.243
0.750 0.250 0.757
0.750 0.586 0.751
0.750 0.914 0.751
0.250 0.070 0.617
0.250 0.250 0.496
0.250 0.250 0.998
0.250 0.430 0.617
0.250 0.584 0.001
0.250 0.916 0.001
0.750 0.084 0.999
0.750 0.416 0.999
0.750 0.570 0.383
0.750 0.750 0.002
0.750 0.750 0.504
0.750 0.930 0.383
0.250 0.082 0.855
0.250 0.418 0.855
0.250 0.618 0.514
0.250 0.750 0.860
0.250 0.882 0.514
0.750 0.118 0.486
0.750 0.250 0.140
0.750 0.382 0.486
0.750 0.582 0.145
0.750 0.918 0.145
```

No. 2
A geometry-optimized Ca5LaAu6 structure. Source: Alexandria via LeMat-Bulk, functional PBE.

VASP energy   -3.677 eV/atom
Symmetry   No. 10

```
Ca5LaAu6
1.0
5.185 0.000 0.000
0.000 7.357 0.000
-2.555 0.000 7.753
Ca La Au
5 1 6
direct
0.000 0.000 0.000
0.330 0.500 0.659
0.334 0.000 0.667
0.666 0.000 0.333
0.670 0.500 0.341
0.000 0.500 0.000
0.165 0.248 0.331
0.165 0.752 0.331
0.500 0.253 0.000
0.500 0.747 0.000
0.835 0.248 0.669
0.835 0.752 0.669
```

No. 3
A geometry-optimized Li2SeF6 structure. Source: Alexandria via LeMat-Bulk, functional PBE.

Symmetry   No. 136
Formation energy from raw total energies   -2.26 eV/atom

```
Li2SeF6
1.0
4.763 0.000 0.000
0.000 4.763 0.000
0.000 0.000 9.262
Li Se F
4 2 12
direct
0.000 0.000 0.163
0.000 0.000 0.837
0.500 0.500 0.337
0.500 0.500 0.663
0.000 0.000 0.500
0.500 0.500 0.000
0.194 0.194 0.341
0.194 0.194 0.659
0.207 0.207 0.000
0.293 0.707 0.500
0.306 0.694 0.159
0.306 0.694 0.841
0.694 0.306 0.159
0.694 0.306 0.841
0.707 0.293 0.500
0.793 0.793 0.000
0.806 0.806 0.341
0.806 0.806 0.659
```

No. 4
A geometry-optimized Li2Ac2MgIn5 structure. Source: Alexandria via LeMat-Bulk, functional PBE.

VASP energy   -3.094 eV/atom
Symmetry   No. 127

```
Li2Ac2MgIn5
1.0
10.583 0.000 0.000
0.000 10.583 0.000
0.000 0.000 4.594
Li Ac Mg In
4 4 2 10
direct
0.108 0.392 0.000
0.392 0.892 0.000
0.608 0.108 0.000
0.892 0.608 0.000
0.185 0.685 0.000
0.315 0.185 0.000
0.685 0.815 0.000
0.815 0.315 0.000
0.000 0.000 0.000
0.500 0.500 0.000
0.000 0.500 0.500
0.057 0.205 0.500
0.205 0.943 0.500
0.295 0.443 0.500
0.443 0.705 0.500
0.500 0.000 0.500
0.557 0.295 0.500
0.705 0.557 0.500
0.795 0.057 0.500
0.943 0.795 0.500
```

No. 5
A geometry-optimized Ho2Cr2GaRu5 structure. Source: Alexandria via LeMat-Bulk, functional PBE.

VASP energy   -7.899 eV/atom
Symmetry   No. 127

```
Ho2Cr2GaRu5
1.0
10.139 0.000 0.000
0.000 10.139 0.000
0.000 0.000 3.158
Ho Cr Ga Ru
4 4 2 10
direct
0.173 0.327 0.000
0.327 0.827 0.000
0.673 0.173 0.000
0.827 0.673 0.000
0.133 0.633 0.000
0.367 0.133 0.000
0.633 0.867 0.000
0.867 0.367 0.000
0.000 0.000 0.000
0.500 0.500 0.000
0.000 0.500 0.500
0.063 0.797 0.500
0.203 0.063 0.500
0.297 0.563 0.500
0.437 0.297 0.500
0.500 0.000 0.500
0.563 0.703 0.500
0.703 0.437 0.500
0.797 0.937 0.500
0.937 0.203 0.500
```

No. 6
A geometry-optimized BaTlSI structure. Source: Alexandria via LeMat-Bulk, functional PBE.

E above lowest polymorph   0 kJ/mol of formula units
Symmetry   No. 160
Formation energy from raw total energies   -1.32 eV/atom

```
BaTlSI
1.0
2.333 1.347 8.442
-2.333 1.347 8.442
0.000 -2.694 8.442
Ba Tl S I
1 1 1 1
direct
0.000 0.000 0.000
0.202 0.202 0.202
0.605 0.605 0.605
0.424 0.424 0.424
```

No. 7
A geometry-optimized Tm2CuNi7 structure. Source: Alexandria via LeMat-Bulk, functional PBE.

VASP energy   -5.553 eV/atom
Symmetry   No. 115

```
Tm2CuNi7
1.0
3.730 0.000 0.000
0.000 3.730 0.000
0.000 0.000 10.372
Tm Cu Ni
2 1 7
direct
0.000 0.500 0.246
0.500 0.000 0.754
0.000 0.000 0.500
0.000 0.000 0.000
0.000 0.500 0.644
0.000 0.500 0.860
0.500 0.000 0.140
0.500 0.000 0.356
0.500 0.500 0.000
0.500 0.500 0.500
```

No. 8
A geometry-optimized VSb3N structure. Source: Alexandria via LeMat-Bulk, functional PBE.

E above lowest polymorph   0 kJ/mol of formula units
Symmetry   No. 221
Formation energy from raw total energies   0.68 eV/atom

```
VSb3N
1.0
4.669 0.000 0.000
0.000 4.669 0.000
0.000 0.000 4.669
V Sb N
1 3 1
direct
0.000 0.000 0.000
0.000 0.500 0.500
0.500 0.000 0.500
0.500 0.500 0.000
0.500 0.500 0.500
```